DyEr2S4 | the Alexandria database | PBE | relaxed; DOS(E_F) = 0.335 states/eV per atom; E_tot = -6.339 eV per atom; polymorph energy (0 for the lowest one) = 19.2 kJ/mol of formula units
1.0
7.165 -1.957 0.000
7.165 1.957 0.000
-3.007 0.000 6.107
Dy Er S
1 2 4
Direct
0.000 0.000 0.000
0.271 0.271 0.278
0.729 0.729 0.722
0.126 0.126 0.442
0.361 0.361 0.999
0.639 0.639 0.001
0.874 0.874 0.558